No. 1
LiHo2Er3Te6: relaxed, PBE-GGA.

Summary:
Formation energy without anion corrections = -122.0 kJ per mole of atoms
Mass density = 7.82 Mg/m³
Calculated total energy = -58.79 eV/cell
SG = C2/m, No. 12

```
LiHo2Er3Te6
1.0
-1.228 2.442 -3.330
-7.849 0.813 3.491
5.352 6.071 5.265
Li Ho Er Te
1 2 3 6
direct
0.500 0.000 0.000 Li
0.830 0.659 0.660 Ho
0.170 0.341 0.340 Ho
0.500 0.500 0.000 Er
0.831 0.169 0.662 Er
0.169 0.831 0.338 Er
0.338 0.920 0.675 Te
0.665 0.585 0.329 Te
0.662 0.080 0.325 Te
0.000 0.243 0.000 Te
0.000 0.757 0.000 Te
0.335 0.415 0.671 Te
```

No. 2
Li3Ho2ErTe6: relaxed, PBE-GGA.

Summary:
Formation energy without anion corrections = -124.0 kJ per mole of atoms
Mass density = 6.22 Mg/m³
Calculated total energy = -53.73 eV/cell
SG = C2/m, No. 12

```
Li3Ho2ErTe6
1.0
7.489 -0.002 0.000
-3.744 6.485 0.000
-1.249 -2.162 7.053
Li Ho Er Te
3 2 1 6
direct
0.167 0.833 0.500 Li
0.833 0.167 0.500 Li
0.500 0.500 0.500 Li
0.333 0.667 0.000 Ho
0.667 0.333 0.000 Ho
0.000 0.000 0.000 Er
0.915 0.583 0.746 Te
0.752 0.752 0.254 Te
0.085 0.417 0.254 Te
0.583 0.915 0.746 Te
0.248 0.248 0.746 Te
0.417 0.085 0.254 Te
```

No. 3
Li3HoEr3Te8: relaxed, PBE-GGA.

Summary:
Formation energy without anion corrections = -118.2 kJ per mole of atoms
Mass density = 6.30 Mg/m³
Calculated total energy = -67.52 eV/cell
SG = R-3m, No. 166

```
Li3HoEr3Te8
1.0
8.575 0.000 0.000
-4.288 7.426 -0.030
0.000 -4.927 7.087
Li Ho Er Te
3 1 3 8
direct
0.000 0.000 0.000 Li
0.000 0.500 0.000 Li
0.500 0.500 0.000 Li
0.000 0.000 0.500 Ho
0.500 0.000 0.500 Er
0.500 0.500 0.500 Er
0.000 0.500 0.500 Er
0.248 0.496 0.245 Te
0.752 0.504 0.755 Te
0.747 0.495 0.246 Te
0.253 0.505 0.754 Te
0.747 0.998 0.246 Te
0.253 0.002 0.754 Te
0.251 0.998 0.246 Te
0.749 0.002 0.754 Te
```

No. 4
LiHo2ErTe4: relaxed, PBE-GGA.

Summary:
Formation energy without anion corrections = -123.6 kJ per mole of atoms
Mass density = 7.43 Mg/m³
Calculated total energy = -38.45 eV/cell
SG = P2/m, No. 10

```
LiHo2ErTe4
1.0
-1.435 2.481 -3.193
-6.142 1.553 3.968
5.280 5.068 1.565
Li Ho Er Te
1 2 1 4
direct
0.000 0.000 0.000 Li
0.500 0.000 0.500 Ho
0.000 0.500 0.500 Ho
0.500 0.500 0.000 Er
0.500 0.243 0.242 Te
0.500 0.757 0.758 Te
0.000 0.246 0.756 Te
0.000 0.754 0.244 Te
```

No. 5
Li2Ho2ErTl2: relaxed, PBE-GGA.

Summary:
E_form = -0.1640 eV per atom
Mass density = 8.62 Mg/m³
Calculated total energy = -23.43 eV/cell
SG = R-3m, No. 166

```
Li2Ho2ErTl2
1.0
4.793 0.000 0.000
2.396 4.151 0.000
2.396 1.384 8.902
Li Ho Er Tl
2 2 1 2
direct
0.604 0.604 0.188 Li
0.396 0.396 0.812 Li
0.127 0.127 0.619 Ho
0.873 0.873 0.381 Ho
0.000 0.000 0.000 Er
0.738 0.738 0.787 Tl
0.262 0.262 0.213 Tl
```

No. 6
LiHoErTl: relaxed, PBE-GGA.

Summary:
E_form = -0.1843 eV per atom
Mass density = 8.83 Mg/m³
Calculated total energy = -14.16 eV/cell
SG = F-43m, No. 216

```
LiHoErTl
1.0
-3.001 4.180 1.028
-4.850 0.298 -1.980
-4.159 -0.471 3.164
Tl Li Ho Er
1 1 1 1
direct
0.500 0.500 0.500 Tl
0.000 0.000 0.000 Li
0.250 0.250 0.250 Ho
0.750 0.750 0.750 Er
```